Entry 1:
## CaAg2Ru (PBE)

Data for an optimized crystal structure of CaAg2Ru.

Computed properties:
**M_tot**: 1.17 μB/f.u.
**V**: 153.8 Å³ per cell
**Energy above the most stable polymorph in this dataset**: 53.4 meV/atom
**Formation enthalpy at 0 K**: 285 meV per atom

Cell: 4.266 4.266 8.449 Å, 90.00 90.00 90.00°
Space group I4/mmm (No. 139)
Unique sites:
1 Ca 0.000 0.000 0.000 x2
2 Ag 0.000 0.500 0.250 x4
3 Ru 0.000 0.000 0.500 x2



Entry 2:
## CaAg2Ru (PBE)

Data for an optimized crystal structure of CaAg2Ru.

Computed properties:
**M_tot**: 0.91 μB/f.u.
**V**: 310.5 Å³ per cell
**Energy above the most stable polymorph in this dataset**: 74.8 meV/atom
**Formation enthalpy at 0 K**: 307 meV per atom

Cell: 6.771 6.771 6.771 Å, 90.00 90.00 90.00°
Space group Fm-3m (No. 225)
Unique sites:
1 Ca 0.000 0.000 0.000 x4
2 Ag 0.250 0.250 0.250 x8
3 Ru 0.000 0.000 0.500 x4



Entry 3:
## CaAg2Ru (PBE)

Data for an optimized crystal structure of CaAg2Ru.

Computed properties:
**M_tot**: 0.11 μB/f.u.
**V**: 151.4 Å³ per cell
**Energy above the most stable polymorph in this dataset**: 40.1 meV/atom
**Formation enthalpy at 0 K**: 272 meV per atom

Cell: 4.173 4.173 8.693 Å, 90.00 90.00 90.00°
Space group I-4m2 (No. 119)
Unique sites:
1 Ca 0.000 0.000 0.000 x2
2 Ag 0.000 0.000 0.500 x2
3 Ag 0.000 0.500 0.250 x2
4 Ru 0.000 0.500 0.750 x2



Q: Which formula does entry 1 have?
A: CaAg2Ru